DFT (PBE) results for an optimized crystal structure of NbTeHI2. Values from VASP.

Results
VASP energy: -15.64 eV per cell
Energy above the lowest structure with this stoichiometry: 411 meV per atom
SG: No. 123

Cell and atoms, written as Quantum ESPRESSO input:
```
&SYSTEM
  ibrav = 0, nat = 5, ntyp = 4
/
ATOMIC_SPECIES
I 126.90 I.upf
H 1.01 H.upf
Nb 92.91 Nb.upf
Te 127.60 Te.upf
ATOMIC_POSITIONS crystal
I 0.000 0.500 0.000
I 0.500 0.000 0.000
H 0.000 0.000 0.000
Nb 0.500 0.500 0.500
Te 0.000 0.000 0.500
CELL_PARAMETERS angstrom
-1.072 -4.996 -2.304
0.693 -2.451 4.992
-3.746 0.459 0.746
```

DFT (PBE) results for an optimized crystal structure of NbTe2HI. Values from VASP.

Results
VASP energy: -19.09 eV per cell
Energy above the lowest structure with this stoichiometry: 0 meV per atom
SG: No. 123

Cell and atoms, written as Quantum ESPRESSO input:
```
&SYSTEM
  ibrav = 0, nat = 5, ntyp = 4
/
ATOMIC_SPECIES
I 126.90 I.upf
H 1.01 H.upf
Nb 92.91 Nb.upf
Te 127.60 Te.upf
ATOMIC_POSITIONS crystal
I 0.000 0.000 0.500
H 0.500 0.500 0.500
Nb 0.000 0.000 0.000
Te 0.000 0.500 0.000
Te 0.500 0.000 0.000
CELL_PARAMETERS angstrom
-1.818 -1.546 4.833
-4.085 -2.600 -2.368
3.250 -4.816 -0.319
```

DFT (PBE) results for an optimized crystal structure of NdHI. Values from VASP.

Results
VASP energy: -23.79 eV per cell
SG: No. 12

Cell and atoms, written as Quantum ESPRESSO input:
```
&SYSTEM
  ibrav = 0, nat = 6, ntyp = 3
/
ATOMIC_SPECIES
I 126.90 I.upf
H 1.01 H.upf
Nd 144.24 Nd.upf
ATOMIC_POSITIONS crystal
I 0.118 0.236 0.248
I 0.882 0.764 0.752
H 0.401 0.802 0.253
H 0.599 0.198 0.747
Nd 0.169 0.339 0.749
Nd 0.831 0.661 0.251
CELL_PARAMETERS angstrom
4.053 0.000 0.000
-2.027 5.938 0.787
0.000 -0.835 6.190
```

DFT (PBE) results for an optimized crystal structure of Nd4H2I5. Values from VASP.

Results
VASP energy: -44.93 eV per cell
SG: No. 12

Cell and atoms, written as Quantum ESPRESSO input:
```
&SYSTEM
  ibrav = 0, nat = 11, ntyp = 3
/
ATOMIC_SPECIES
Nd 144.24 Nd.upf
H 1.01 H.upf
I 126.90 I.upf
ATOMIC_POSITIONS crystal
Nd 0.623 0.561 0.247
Nd 0.999 0.724 0.998
Nd 0.377 0.439 0.753
Nd 0.001 0.276 0.002
H 0.499 0.620 0.998
H 0.501 0.380 0.002
I 0.170 0.828 0.340
I 0.830 0.172 0.660
I 0.175 0.341 0.349
I 0.500 0.000 0.000
I 0.825 0.659 0.651
CELL_PARAMETERS angstrom
4.192 0.000 0.000
0.000 9.283 0.232
-2.096 -2.447 9.075
```

DFT (PBE) results for an optimized crystal structure of NdHI. Values from VASP.

Results
VASP energy: -11.98 eV per cell
SG: No. 156

Cell and atoms, written as Quantum ESPRESSO input:
```
&SYSTEM
  ibrav = 0, nat = 3, ntyp = 3
/
ATOMIC_SPECIES
I 126.90 I.upf
H 1.01 H.upf
Nd 144.24 Nd.upf
ATOMIC_POSITIONS crystal
I 0.000 0.000 0.010
H 0.333 0.667 0.523
Nd 0.667 0.333 0.466
CELL_PARAMETERS angstrom
-3.389 -0.905 -1.911
2.894 -2.733 0.337
-2.031 -1.612 4.366
```

DFT (PBE) results for an optimized crystal structure of NdHI. Values from VASP.

Results
VASP energy: -22.42 eV per cell
SG: No. 12

Cell and atoms, written as Quantum ESPRESSO input:
```
&SYSTEM
  ibrav = 0, nat = 6, ntyp = 3
/
ATOMIC_SPECIES
Nd 144.24 Nd.upf
H 1.01 H.upf
I 126.90 I.upf
ATOMIC_POSITIONS crystal
Nd 0.239 0.179 0.440
Nd 0.570 0.510 0.777
H 0.154 0.595 0.608
H 0.655 0.094 0.609
I 0.404 0.844 0.108
I 0.904 0.344 0.108
CELL_PARAMETERS angstrom
4.903 -0.007 -0.004
0.006 4.902 -0.004
2.441 2.435 6.276
```

DFT (PBE) results for an optimized crystal structure of Nd2HI. Values from VASP.

Results
VASP energy: -16.90 eV per cell
SG: No. 166

Cell and atoms, written as Quantum ESPRESSO input:
```
&SYSTEM
  ibrav = 0, nat = 4, ntyp = 3
/
ATOMIC_SPECIES
I 126.90 I.upf
H 1.01 H.upf
Nd 144.24 Nd.upf
ATOMIC_POSITIONS crystal
I 0.500 0.500 0.500
H 0.000 0.000 0.000
Nd 0.726 0.726 0.822
Nd 0.274 0.274 0.178
CELL_PARAMETERS angstrom
-3.816 -0.453 0.303
-1.441 -2.666 2.382
-1.916 4.212 6.676
```

DFT (PBE) results for an optimized crystal structure of Nd2HI3. Values from VASP.

Results
VASP energy: -48.29 eV per cell
SG: No. 12

Cell and atoms, written as Quantum ESPRESSO input:
```
&SYSTEM
  ibrav = 0, nat = 12, ntyp = 3
/
ATOMIC_SPECIES
Nd 144.24 Nd.upf
H 1.01 H.upf
I 126.90 I.upf
ATOMIC_POSITIONS crystal
Nd 0.865 0.480 0.790
Nd 0.135 0.520 0.210
Nd 0.570 0.322 0.539
Nd 0.430 0.678 0.461
H 0.423 0.491 0.663
H 0.577 0.509 0.337
I 0.038 0.165 0.758
I 0.962 0.835 0.242
I 0.665 0.681 0.990
I 0.335 0.319 0.010
I 0.785 0.808 0.621
I 0.215 0.192 0.379
CELL_PARAMETERS angstrom
4.133 0.000 0.000
2.066 9.744 0.418
2.066 2.716 10.618
```